# 1
NaSm2Co: relaxed, GGA-PBE.

Cell lengths 3.436, 3.436, 9.462 Å; angles 90.00, 90.00, 90.00 degrees
Last column: magnetic moment on the atom in μB.
Positions (direct):
Na 0.500 0.500 0.500  0.00
Co 0.500 0.500 0.000  0.83
Sm 0.000 0.000 0.827  -0.08
Sm 0.000 0.000 0.173  -0.08

Computed properties:
Raw total energy: -17.8 eV per formula unit
Energy above the lowest structure with this stoichiometry: 0.026 eV per atom
Space-group type: No. 123
N(E_F): 0.8491 states/eV per atom
Energy of formation: 2.54 kJ/mol of atoms


# 2
NaSm2Co: relaxed, GGA-PBE.

Cell lengths 3.945, 3.945, 9.517 Å; angles 78.04, 78.04, 60.00 degrees
Positions (direct):
Na 0.501 0.501 0.498
Sm 0.052 0.052 0.843
Sm 0.281 0.281 0.158
Co 0.666 0.666 0.001

Computed properties:
Raw total energy: -17.9 eV per formula unit
Energy above the lowest structure with this stoichiometry: 0.000 eV per atom
Space-group type: No. 160
N(E_F): 0.7406 states/eV per atom
Energy of formation: -0.01 kJ/mol of atoms


# 3
NaSm3Co: relaxed, GGA-PBE.

Cell lengths 5.408, 5.408, 5.408 Å; angles 90.00, 90.00, 90.00 degrees
Positions (direct):
Na 0.500 0.500 0.500
Co 0.000 0.000 0.000
Sm 0.000 0.500 0.000
Sm 0.000 0.000 0.500
Sm 0.500 0.000 0.000

Computed properties:
Raw total energy: -22.3 eV per formula unit
Space-group type: No. 221
N(E_F): 0.6392 states/eV per atom
Energy of formation: 6.09 kJ/mol of atoms


# 4
NaSm12Co6: relaxed, GGA-PBE.

Cell lengths 8.653, 8.653, 8.653 Å; angles 109.47, 109.47, 109.47 degrees
Positions (direct):
Na 0.000 0.000 0.000
Sm 0.311 0.114 0.803
Sm 0.311 0.508 0.197
Sm 0.689 0.492 0.803
Sm 0.689 0.886 0.197
Sm 0.114 0.803 0.311
Sm 0.508 0.197 0.311
Sm 0.492 0.803 0.689
Sm 0.886 0.197 0.689
Sm 0.803 0.311 0.114
Sm 0.197 0.311 0.508
Sm 0.803 0.689 0.492
Sm 0.197 0.689 0.886
Co 0.389 0.500 0.889
Co 0.611 0.500 0.111
Co 0.500 0.889 0.389
Co 0.500 0.111 0.611
Co 0.889 0.389 0.500
Co 0.111 0.611 0.500

Computed properties:
Raw total energy: -102.3 eV per formula unit
Space-group type: No. 204
N(E_F): 0.7324 states/eV per atom
Energy of formation: -8.54 kJ/mol of atoms


# 5
NaCoSn3: relaxed, GGA-PBE.

Cell lengths 4.346, 8.830, 11.821 Å; angles 90.00, 90.00, 90.00 degrees
Last column: magnetic moment on the atom in μB.
Positions (direct):
Na 0.750 0.823 0.995  0.00
Na 0.250 0.677 0.495  0.00
Na 0.750 0.323 0.505  0.00
Na 0.250 0.177 0.005  0.00
Co 0.250 0.074 0.652  0.19
Co 0.250 0.574 0.848  0.19
Co 0.750 0.426 0.152  0.19
Co 0.750 0.926 0.348  0.19
Sn 0.250 0.572 0.074  0.00
Sn 0.750 0.428 0.926  0.00
Sn 0.250 0.072 0.426  0.00
Sn 0.750 0.928 0.574  0.00
Sn 0.250 0.354 0.707  0.01
Sn 0.750 0.146 0.207  0.01
Sn 0.250 0.854 0.793  0.01
Sn 0.750 0.613 0.706  0.00
Sn 0.250 0.387 0.294  0.00
Sn 0.750 0.113 0.794  0.00
Sn 0.750 0.646 0.293  0.01
Sn 0.250 0.887 0.206  0.00

Computed properties:
Raw total energy: -20.9 eV per formula unit
Energy above the lowest structure with this stoichiometry: 0.000 eV per atom
Space-group type: No. 62
N(E_F): 0.6239 states/eV per atom
Energy of formation: -8.27 kJ/mol of atoms


# 6
NaCo4Sn12: relaxed, GGA-PBE.

Cell lengths 8.021, 8.021, 8.021 Å; angles 109.47, 109.47, 109.47 degrees
Positions (direct):
Na 0.000 0.000 0.000
Co 0.000 0.500 0.000
Co 0.500 0.000 0.000
Co 0.500 0.500 0.500
Co 0.000 0.000 0.500
Sn 0.829 0.326 0.156
Sn 0.326 0.497 0.171
Sn 0.844 0.171 0.674
Sn 0.326 0.156 0.829
Sn 0.156 0.829 0.326
Sn 0.674 0.503 0.829
Sn 0.497 0.171 0.326
Sn 0.503 0.829 0.674
Sn 0.674 0.844 0.171
Sn 0.829 0.674 0.503
Sn 0.171 0.326 0.497
Sn 0.171 0.674 0.844

Computed properties:
Raw total energy: -77.8 eV per formula unit
Space-group type: No. 204
N(E_F): 1.1810 states/eV per atom
Energy of formation: 0.13 kJ/mol of atoms


# 7
NaCo3Sn: relaxed, GGA-PBE.

Cell lengths 4.405, 4.405, 4.405 Å; angles 90.00, 90.00, 90.00 degrees
Last column: magnetic moment on the atom in μB.
Positions (direct):
Na 0.000 0.000 0.000  -0.05
Co 0.000 0.500 0.000  1.77
Co 0.000 0.000 0.500  1.58
Co 0.500 0.000 0.000  1.50
Sn 0.500 0.500 0.500  -0.04

Computed properties:
Raw total energy: -18.6 eV per formula unit
Energy above the lowest structure with this stoichiometry: 0.453 eV per atom
Space-group type: No. 221
N(E_F): 1.2337 states/eV per atom
Energy of formation: 154.61 kJ/mol of atoms


# 8
NaCoSn3: relaxed, GGA-PBE.

Cell lengths 5.006, 5.006, 5.006 Å; angles 90.00, 90.00, 90.00 degrees
Positions (direct):
Na 0.500 0.500 0.500
Co 0.000 0.000 0.000
Sn 0.000 0.500 0.000
Sn 0.000 0.000 0.500
Sn 0.500 0.000 0.000

Computed properties:
Raw total energy: -20.2 eV per formula unit
Energy above the lowest structure with this stoichiometry: 0.135 eV per atom
Space-group type: No. 221
N(E_F): 1.2267 states/eV per atom
Energy of formation: 4.75 kJ/mol of atoms


# 9
NaCo2Sn2: relaxed, GGA-PBE.

Cell lengths 4.127, 4.127, 6.530 Å; angles 71.58, 71.58, 90.00 degrees
Positions (direct):
Na 0.000 0.000 0.000
Co 0.750 0.250 0.500
Co 0.250 0.750 0.500
Sn 0.372 0.372 0.257
Sn 0.628 0.628 0.743

Computed properties:
Raw total energy: -23.1 eV per formula unit
Energy above the lowest structure with this stoichiometry: 0.066 eV per atom
Space-group type: No. 139
N(E_F): 0.7418 states/eV per atom
Energy of formation: 8.97 kJ/mol of atoms


# 10
Na2CoSn: relaxed, GGA-PBE.

Cell lengths 8.797, 8.797, 6.716 Å; angles 49.08, 49.08, 90.00 degrees
Last column: magnetic moment on the atom in μB.
Positions (direct):
Na 0.556 0.125 0.250  -0.01
Na 0.194 0.625 0.250  -0.01
Na 0.375 0.444 0.750  -0.01
Na 0.875 0.806 0.750  -0.01
Co 0.500 0.500 0.000  1.28
Co 0.250 0.750 0.500  1.28
Sn 0.000 0.000 0.000  -0.06
Sn 0.750 0.250 0.500  -0.06

Computed properties:
Raw total energy: -12.0 eV per formula unit
Space-group type: No. 122
N(E_F): 0.8741 states/eV per atom
Energy of formation: 41.18 kJ/mol of atoms


# 11
NaCoSn2: relaxed, GGA-PBE.

Cell lengths 3.158, 3.158, 8.411 Å; angles 90.00, 90.00, 90.00 degrees
Last column: magnetic moment on the atom in μB.
Positions (direct):
Na 0.500 0.500 0.500  0.00
Co 0.500 0.500 0.000  0.91
Sn 0.000 0.000 0.807  -0.02
Sn 0.000 0.000 0.193  -0.02

Computed properties:
Raw total energy: -16.7 eV per formula unit
Space-group type: No. 123
N(E_F): 0.2204 states/eV per atom
Energy of formation: -7.63 kJ/mol of atoms


# 12
NaCo3Sn: relaxed, GGA-PBE.

Cell lengths 4.846, 4.846, 4.846 Å; angles 90.00, 90.00, 90.00 degrees
Last column: magnetic moment on the atom in μB.
Positions (direct):
Na 0.500 0.500 0.500  -0.02
Co 0.000 0.500 0.000  1.81
Co 0.000 0.000 0.500  1.54
Co 0.500 0.000 0.000  1.96
Sn 0.000 0.000 0.000  -0.07

Computed properties:
Raw total energy: -20.9 eV per formula unit
Energy above the lowest structure with this stoichiometry: 0.000 eV per atom
Space-group type: No. 221
N(E_F): 1.3999 states/eV per atom
Energy of formation: 110.90 kJ/mol of atoms